# 1
Computed, not measured: crystalline MgNp2Bi4 at its relaxed geometry at the PBE-GGA level of DFT.

Properties
total magnetic moment: 7.590 μB/cell
SG: P-4m2, No. 115

```
data_MgNp2Bi4
_symmetry_space_group_name_H-M 'P 1'
_symmetry_Int_Tables_number 1
_cell_length_a 4.489
_cell_length_b 4.489
_cell_length_c 10.691
_cell_angle_alpha 90.00
_cell_angle_beta 90.00
_cell_angle_gamma 90.00
loop_
_symmetry_equiv_pos_as_xyz
'x,y,z'
loop_
_atom_site_label
_atom_site_fract_x
_atom_site_fract_y
_atom_site_fract_z
Mg1 0.000 0.000 0.000
Np1 0.000 0.500 0.736
Np2 0.500 0.000 0.264
Bi1 0.000 0.000 0.500
Bi2 0.000 0.500 0.182
Bi3 0.500 0.000 0.818
Bi4 0.500 0.500 0.500
```

=====

# 2
Computed, not measured: crystalline MgNpBi at its relaxed geometry at the PBE-GGA level of DFT.

Properties
total magnetic moment: 18.914 μB/cell
SG: C2/m, No. 12

```
data_MgNpBi
_symmetry_space_group_name_H-M 'P 1'
_symmetry_Int_Tables_number 1
_cell_length_a 6.362
_cell_length_b 6.393
_cell_length_c 8.365
_cell_angle_alpha 90.00
_cell_angle_beta 105.53
_cell_angle_gamma 90.00
loop_
_symmetry_equiv_pos_as_xyz
'x,y,z'
loop_
_atom_site_label
_atom_site_fract_x
_atom_site_fract_y
_atom_site_fract_z
Mg1 0.250 0.250 0.000
Mg2 0.250 0.750 0.000
Mg3 0.750 0.250 0.000
Mg4 0.750 0.750 0.000
Np1 0.122 0.000 0.334
Np2 0.378 0.500 0.666
Np3 0.622 0.500 0.334
Np4 0.878 0.000 0.666
Bi1 0.102 0.500 0.279
Bi2 0.398 0.000 0.721
Bi3 0.602 0.000 0.279
Bi4 0.898 0.500 0.721
```

=====

# 3
Computed, not measured: crystalline MgNp2Bi4 at its relaxed geometry at the PBE-GGA level of DFT.

Properties
total magnetic moment: 8.380 μB/cell
SG: R-3m, No. 166

```
data_MgNp2Bi4
_symmetry_space_group_name_H-M 'P 1'
_symmetry_Int_Tables_number 1
_cell_length_a 10.370
_cell_length_b 10.370
_cell_length_c 10.370
_cell_angle_alpha 28.35
_cell_angle_beta 28.35
_cell_angle_gamma 28.35
loop_
_symmetry_equiv_pos_as_xyz
'x,y,z'
loop_
_atom_site_label
_atom_site_fract_x
_atom_site_fract_y
_atom_site_fract_z
Mg1 0.000 0.000 0.000
Np1 0.252 0.252 0.252
Np2 0.748 0.748 0.748
Bi1 0.143 0.143 0.143
Bi2 0.375 0.375 0.375
Bi3 0.625 0.625 0.625
Bi4 0.857 0.857 0.857
```

=====

# 4
Computed, not measured: crystalline MgNpBiO6 at its relaxed geometry at the PBE-GGA level of DFT.

Properties
formation energy from raw total energies: -2.222 eV/atom
total magnetic moment: 0.000 μB/cell
SG: P-31c, No. 163

```
data_MgNpBiO6
_symmetry_space_group_name_H-M 'P 1'
_symmetry_Int_Tables_number 1
_cell_length_a 5.452
_cell_length_b 5.452
_cell_length_c 9.936
_cell_angle_alpha 90.00
_cell_angle_beta 90.00
_cell_angle_gamma 120.00
loop_
_symmetry_equiv_pos_as_xyz
'x,y,z'
loop_
_atom_site_label
_atom_site_fract_x
_atom_site_fract_y
_atom_site_fract_z
Mg1 0.333 0.667 0.250
Mg2 0.667 0.333 0.750
Np1 0.333 0.667 0.750
Np2 0.667 0.333 0.250
Bi1 0.000 0.000 0.000
Bi2 0.000 0.000 0.500
O1 0.012 0.363 0.640
O2 0.012 0.649 0.860
O3 0.351 0.363 0.860
O4 0.351 0.988 0.640
O5 0.363 0.012 0.140
O6 0.363 0.351 0.360
O7 0.637 0.649 0.640
O8 0.637 0.988 0.860
O9 0.649 0.012 0.360
O10 0.649 0.637 0.140
O11 0.988 0.351 0.140
O12 0.988 0.637 0.360
```

=====

# 5
Computed, not measured: crystalline MgNpBi2O6 at its relaxed geometry at the PBE-GGA level of DFT.

Properties
formation energy from raw total energies: -1.962 eV/atom
total magnetic moment: 5.057 μB/cell
SG: P2_1/c, No. 14

```
data_MgNpBi2O6
_symmetry_space_group_name_H-M 'P 1'
_symmetry_Int_Tables_number 1
_cell_length_a 6.258
_cell_length_b 5.736
_cell_length_c 9.898
_cell_angle_alpha 90.00
_cell_angle_beta 125.05
_cell_angle_gamma 90.00
loop_
_symmetry_equiv_pos_as_xyz
'x,y,z'
loop_
_atom_site_label
_atom_site_fract_x
_atom_site_fract_y
_atom_site_fract_z
Mg1 0.000 0.000 0.000
Mg2 0.000 0.500 0.500
Np1 0.500 0.000 0.500
Np2 0.500 0.500 0.000
Bi1 0.191 0.001 0.749
Bi2 0.191 0.499 0.249
Bi3 0.809 0.501 0.751
Bi4 0.809 0.999 0.251
O1 0.155 0.247 0.923
O2 0.155 0.253 0.423
O3 0.156 0.746 0.423
O4 0.156 0.754 0.923
O5 0.358 0.001 0.261
O6 0.358 0.499 0.761
O7 0.642 0.501 0.239
O8 0.642 0.999 0.739
O9 0.844 0.246 0.077
O10 0.844 0.254 0.577
O11 0.845 0.747 0.577
O12 0.845 0.753 0.077
```

=====

# 6
Computed, not measured: crystalline Mg2NpBiO8 at its relaxed geometry at the PBE-GGA level of DFT.

Properties
formation energy from raw total energies: -2.038 eV/atom
total magnetic moment: 0.000 μB/cell
SG: Cmmm, No. 65

```
data_Mg2NpBiO8
_symmetry_space_group_name_H-M 'P 1'
_symmetry_Int_Tables_number 1
_cell_length_a 4.775
_cell_length_b 4.775
_cell_length_c 6.729
_cell_angle_alpha 90.00
_cell_angle_beta 90.00
_cell_angle_gamma 92.81
loop_
_symmetry_equiv_pos_as_xyz
'x,y,z'
loop_
_atom_site_label
_atom_site_fract_x
_atom_site_fract_y
_atom_site_fract_z
Mg1 0.000 0.000 0.246
Mg2 0.000 0.000 0.754
Np1 0.500 0.500 0.500
Bi1 0.500 0.500 0.000
O1 0.191 0.191 0.000
O2 0.206 0.206 0.500
O3 0.304 0.696 0.263
O4 0.304 0.696 0.737
O5 0.696 0.304 0.263
O6 0.696 0.304 0.737
O7 0.794 0.794 0.500
O8 0.809 0.809 0.000
```

=====

# 7
Computed, not measured: crystalline MgBi2O6 at its relaxed geometry at the PBE-GGA level of DFT.

Properties
formation energy from raw total energies: -1.121 eV/atom
total magnetic moment: 0.000 μB/cell
SG: Pmn2_1, No. 31

```
data_MgBi2O6
_symmetry_space_group_name_H-M 'P 1'
_symmetry_Int_Tables_number 1
_cell_length_a 7.970
_cell_length_b 5.817
_cell_length_c 5.453
_cell_angle_alpha 90.00
_cell_angle_beta 90.00
_cell_angle_gamma 90.00
loop_
_symmetry_equiv_pos_as_xyz
'x,y,z'
loop_
_atom_site_label
_atom_site_fract_x
_atom_site_fract_y
_atom_site_fract_z
Mg1 0.000 0.173 0.000
Mg2 0.500 0.827 0.500
Bi1 0.249 0.739 0.971
Bi2 0.251 0.261 0.471
Bi3 0.749 0.261 0.471
Bi4 0.751 0.739 0.971
O1 0.000 0.290 0.637
O2 0.000 0.829 0.848
O3 0.167 0.984 0.243
O4 0.180 0.420 0.125
O5 0.320 0.580 0.625
O6 0.333 0.016 0.743
O7 0.500 0.171 0.348
O8 0.500 0.710 0.137
O9 0.667 0.016 0.743
O10 0.680 0.580 0.625
O11 0.820 0.420 0.125
O12 0.833 0.984 0.243
```

=====

# 8
Computed, not measured: crystalline Mg3BiO4 at its relaxed geometry at the PBE-GGA level of DFT.

Properties
formation energy from raw total energies: -1.735 eV/atom
total magnetic moment: 0.000 μB/cell
SG: Pm-3m, No. 221

```
data_Mg3BiO4
_symmetry_space_group_name_H-M 'P 1'
_symmetry_Int_Tables_number 1
_cell_length_a 4.688
_cell_length_b 4.688
_cell_length_c 4.688
_cell_angle_alpha 90.00
_cell_angle_beta 90.00
_cell_angle_gamma 90.00
loop_
_symmetry_equiv_pos_as_xyz
'x,y,z'
loop_
_atom_site_label
_atom_site_fract_x
_atom_site_fract_y
_atom_site_fract_z
Mg1 0.000 0.000 0.500
Mg2 0.000 0.500 0.000
Mg3 0.500 0.000 0.000
Bi1 0.500 0.500 0.500
O1 0.000 0.000 0.000
O2 0.000 0.500 0.500
O3 0.500 0.000 0.500
O4 0.500 0.500 0.000
```

=====

| no. | calculated total energy (eV/atom) | V (A^3/atom) |
| --- | --- | --- |
| 1 | -6.122 | 30.773 |
| 2 | -6.086 | 27.317 |
| 3 | -5.983 | 31.745 |
| 4 | -7.574 | 14.212 |
| 5 | -7.167 | 14.546 |
| 6 | -7.011 | 12.767 |
| 7 | -5.466 | 14.046 |
| 8 | -5.297 | 12.878 |